1.
Hf3CdC | PBE | optimized geometry

The final energy is -7.437 eV/atom. The value obtained for the relative energy among the computed polymorphs is 481 kJ/mol of formula units. For the density of states at the Fermi level, the calculation gives 1.8 states/eV/f.u. As for the energy of formation: 563 meV/atom. The size of the total moment comes out at 0.00 μB per cell. Its crystal system is trigonal.

It has space group R3m (No. 160, hexagonal axes), with a = 8.9218 Å, b = 8.9218 Å, c = 4.4731 Å, α = 90.00°, β = 90.00° and γ = 120.00°. The distinct sites, in fractional coordinates, are Hf at (0.1937, 0.3874, 0.0000), Cd at (0.0000, 0.0000, 0.8328) and C at (0.0000, 0.0000, 0.3402).


2.
Pm3Nd5Te8 | PBE | optimized geometry

The final energy is -5.364 eV/atom. As for the raw formation energy: -1413 meV/atom. For the density of states at the Fermi level, the calculation gives 12.7 states/eV/f.u. The size of the total moment comes out at 0.00 μB per cell. Its crystal system is trigonal.

It has space group R-3m (No. 166, hexagonal axes), with a = 8.9753 Å, b = 8.9753 Å, c = 21.9820 Å, α = 90.00°, β = 90.00° and γ = 120.00°. The distinct sites, in fractional coordinates, are Pm at (0.0000, 0.5000, 0.0000), Nd at (0.0000, 0.0000, 0.0000), Nd at (0.0000, 0.0000, 0.5000), Nd at (0.0000, 0.5000, 0.5000), Te at (0.0000, 0.0000, 0.2509) and Te at (0.0012, 0.5006, 0.2506).


3.
K3CeNp3S8 | PBE | optimized geometry

The final energy is -6.911 eV/atom. As for the raw formation energy: -1507 meV/atom. For the density of states at the Fermi level, the calculation gives 29.7 states/eV/f.u. The size of the total moment comes out at 36.00 μB per cell. Its crystal system is trigonal.

It has space group R-3m (No. 166, hexagonal axes), with a = 8.1591 Å, b = 8.1591 Å, c = 22.2906 Å, α = 90.00°, β = 90.00° and γ = 120.00°. The distinct sites, in fractional coordinates, are K at (0.0000, 0.5000, 0.0000), Ce at (0.0000, 0.0000, 0.5000), Np at (0.0000, 0.5000, 0.5000), S at (0.0000, 0.0000, 0.2323) and S at (0.0047, 0.5024, 0.7678).


4.
LiGaAgF2 | PBE | optimized geometry

The final energy is -3.057 eV/atom. As for the raw formation energy: -750 meV/atom. For the density of states at the Fermi level, the calculation gives 2.8 states/eV/f.u. The size of the total moment comes out at 0.00 μB per cell. Its crystal system is tetragonal.

It has space group P4/mmm (No. 123), with a = 4.550 Å, b = 4.550 Å, c = 4.961 Å, α = 90.00°, β = 90.00° and γ = 90.00°. The distinct sites, in fractional coordinates, are Li at (0.000, 0.000, 0.000), Ga at (0.500, 0.500, 0.000), Ag at (0.500, 0.500, 0.500) and F at (0.000, 0.500, 0.500).


5.
TaTc2P | PBE | optimized geometry

The final energy is -9.650 eV/atom. For the density of states at the Fermi level, the calculation gives 2.3 states/eV/f.u. As for the energy of formation: -152 meV/atom. The size of the total moment comes out at 0.00 μB per cell. Its crystal system is tetragonal.

It has space group I-4m2 (No. 119), with a = 3.679 Å, b = 3.679 Å, c = 8.643 Å, α = 90.00°, β = 90.00° and γ = 90.00°. The distinct sites, in fractional coordinates, are Ta at (0.000, 0.000, 0.000), Tc at (0.000, 0.000, 0.500), Tc at (0.000, 0.500, 0.750) and P at (0.000, 0.500, 0.250).


6.
BaCrSi2 | PBE | optimized geometry

The final energy is -5.020 eV/atom. As for the raw formation energy: 578 meV/atom. The value obtained for the relative energy among the computed polymorphs is 275 kJ/mol of formula units. For the density of states at the Fermi level, the calculation gives 1.3 states/eV/f.u. The size of the total moment comes out at 3.98 μB per cell. Its crystal system is tetragonal.

It has space group P4/mmm (No. 123), with a = 4.490 Å, b = 4.490 Å, c = 4.604 Å, α = 90.00°, β = 90.00° and γ = 90.00°. The distinct sites, in fractional coordinates, are Ba at (0.000, 0.000, 0.000), Cr at (0.500, 0.500, 0.000) and Si at (0.000, 0.500, 0.500).


7.
NdMgSi | PBE | optimized geometry

The final energy is -4.314 eV/atom. As for the raw formation energy: -386 meV/atom. For the density of states at the Fermi level, the calculation gives 1.4 states/eV/f.u. The size of the total moment comes out at 0.00 μB per cell. Its crystal system is cubic.

It has space group F-43m (No. 216), with a = 6.739 Å, b = 6.739 Å, c = 6.739 Å, α = 90.00°, β = 90.00° and γ = 90.00°. The distinct sites, in fractional coordinates, are Nd at (0.000, 0.000, 0.000), Mg at (0.000, 0.000, 0.500) and Si at (0.250, 0.250, 0.750).


8.
TmPaGaAu | PBE | optimized geometry

The final energy is -5.406 eV/atom. For the density of states at the Fermi level, the calculation gives 7.6 states/eV/f.u. As for the energy of formation: -338 meV/atom. The size of the total moment comes out at 6.09 μB per cell. Its crystal system is cubic.

It has space group F-43m (No. 216), with a = 7.173 Å, b = 7.173 Å, c = 7.173 Å, α = 90.00°, β = 90.00° and γ = 90.00°. The distinct sites, in fractional coordinates, are Tm at (0.000, 0.000, 0.000), Pa at (0.000, 0.000, 0.500), Ga at (0.250, 0.250, 0.250) and Au at (0.250, 0.250, 0.750).


9.
CeMnGa2 | PBE | optimized geometry

The final energy is -5.113 eV/atom. For the density of states at the Fermi level, the calculation gives 4.8 states/eV/f.u. As for the energy of formation: 176 meV/atom. The size of the total moment comes out at 10.57 μB per cell. Its crystal system is trigonal.

It has space group R-3m (No. 166, hexagonal axes), with a = 2.9462 Å, b = 2.9462 Å, c = 31.4984 Å, α = 90.00°, β = 90.00° and γ = 120.00°. The distinct sites, in fractional coordinates, are Ce at (0.0000, 0.0000, 0.0000), Mn at (0.0000, 0.0000, 0.5000) and Ga at (0.0000, 0.0000, 0.4203).


10.
Tb2ScNb | PBE | optimized geometry

The final energy is -5.919 eV/atom. For the density of states at the Fermi level, the calculation gives 4.6 states/eV/f.u. As for the energy of formation: 496 meV/atom. The size of the total moment comes out at 0.00 μB per cell. Its crystal system is trigonal.

It has space group R-3m (No. 166, hexagonal axes), with a = 3.2354 Å, b = 3.2354 Å, c = 33.9050 Å, α = 90.00°, β = 90.00° and γ = 120.00°. The distinct sites, in fractional coordinates, are Tb at (0.0000, 0.0000, 0.0859), Sc at (0.0000, 0.0000, 0.5000) and Nb at (0.0000, 0.0000, 0.0000).


11.
Sr2YTe | PBE | optimized geometry

The final energy is -3.549 eV/atom. As for the raw formation energy: -307 meV/atom. For the density of states at the Fermi level, the calculation gives 5.1 states/eV/f.u. The size of the total moment comes out at 0.00 μB per cell. Its crystal system is orthorhombic.

It has space group Pmmm (No. 47), with a = 4.503 Å, b = 5.576 Å, c = 5.600 Å, α = 90.00°, β = 90.00° and γ = 90.00°. The distinct sites, in fractional coordinates, are Sr at (0.000, 0.000, 0.000), Sr at (0.500, 0.000, 0.500), Y at (0.000, 0.500, 0.500) and Te at (0.500, 0.500, 0.000).


12.
Ca2YbH6 | PBE | optimized geometry

The final energy is -3.026 eV/atom. For the density of states at the Fermi level, the calculation gives 16.2 states/eV/f.u. The size of the total moment comes out at 1.07 μB per cell. Its crystal system is cubic.

It has space group Fm-3m (No. 225), with a = 7.827 Å, b = 7.827 Å, c = 7.827 Å, α = 90.00°, β = 90.00° and γ = 90.00°. The distinct sites, in fractional coordinates, are Ca at (0.250, 0.250, 0.250), Yb at (0.000, 0.000, 0.000) and H at (0.000, 0.000, 0.268).


13.
LaErIr | PBE | optimized geometry

The final energy is -6.761 eV/atom. The value obtained for the relative energy among the computed polymorphs is 0 kJ/mol of formula units. For the density of states at the Fermi level, the calculation gives 1.8 states/eV/f.u. As for the energy of formation: -643 meV/atom. The size of the total moment comes out at 0.00 μB per cell. Its crystal system is monoclinic.

It has space group P2_1/c (No. 14), with a = 6.548 Å, b = 7.093 Å, c = 10.096 Å, α = 90.00°, β = 128.72° and γ = 90.00°. The distinct sites, in fractional coordinates, are La at (0.149, 0.082, 0.386), Er at (0.375, 0.577, 0.613) and Ir at (0.359, 0.745, 0.355).


14.
LiPSe | PBE | optimized geometry

The final energy is -4.144 eV/atom. As for the raw formation energy: -541 meV/atom. The value obtained for the relative energy among the computed polymorphs is 5 kJ/mol of formula units. The size of the total moment comes out at 0.00 μB per cell. Its crystal system is triclinic.

It has space group P1 (No. 1), with a = 3.608 Å, b = 6.089 Å, c = 6.832 Å, α = 81.35°, β = 89.62° and γ = 73.70°. The distinct sites, in fractional coordinates, are Li at (0.000, 0.000, 0.000), Li at (0.188, 0.577, 0.483), P at (0.098, 0.038, 0.592), P at (0.561, 0.136, 0.388), Se at (0.583, 0.819, 0.236) and Se at (0.791, 0.351, 0.734).


15.
Nd12Dy5Pu | PBE | optimized geometry

The final energy is -5.216 eV/atom. For the density of states at the Fermi level, the calculation gives 28.9 states/eV/f.u. As for the energy of formation: 37 meV/atom. The size of the total moment comes out at 12.45 μB per cell. Its crystal system is monoclinic.

It has space group C2/m (No. 12), with a = 18.831 Å, b = 10.887 Å, c = 6.283 Å, α = 90.00°, β = 109.06° and γ = 90.00°. The distinct sites, in fractional coordinates, are Nd at (0.000, 0.163, 0.000), Nd at (0.000, 0.332, 0.500), Nd at (0.165, 0.164, 0.500), Nd at (0.167, 0.335, 0.000), Dy at (0.000, 0.500, 0.000), Dy at (0.165, 0.000, 0.996), Dy at (0.167, 0.500, 0.501) and Pu at (0.000, 0.000, 0.500).


16.
TlRe2Ni | PBE | optimized geometry

The final energy is -7.559 eV/atom. The value obtained for the relative energy among the computed polymorphs is 71 kJ/mol of formula units. For the density of states at the Fermi level, the calculation gives 3.5 states/eV/f.u. As for the energy of formation: 702 meV/atom. The size of the total moment comes out at 0.00 μB per cell. Its crystal system is tetragonal.

It has space group P4/mmm (No. 123), with a = 3.043 Å, b = 3.043 Å, c = 7.036 Å, α = 90.00°, β = 90.00° and γ = 90.00°. The distinct sites, in fractional coordinates, are Tl at (0.000, 0.000, 0.000), Re at (0.500, 0.500, 0.317) and Ni at (0.000, 0.000, 0.500).


17.
Cu2Pd3 | PBE | optimized geometry

The final energy is -4.693 eV/atom. The value obtained for the relative energy among the computed polymorphs is 70 kJ/mol of formula units. For the density of states at the Fermi level, the calculation gives 8.2 states/eV/f.u. As for the energy of formation: 61 meV/atom. The size of the total moment comes out at 0.00 μB per cell. Its crystal system is trigonal.

It has space group R-3c (No. 167, hexagonal axes), with a = 7.4250 Å, b = 7.4250 Å, c = 9.1048 Å, α = 90.00°, β = 90.00° and γ = 120.00°. The distinct sites, in fractional coordinates, are Cu at (0.0000, 0.0000, 0.1246) and Pd at (0.0000, 0.3245, 0.2500).